Below is AcLaSmEu after structural relaxation, with properties calculated at the GGA-PBE level.

abc: 6.0550 6.0550 6.0550
angles: 60.00 60.00 60.00
With the nearest neighbours (Å) after each atom.
Sites, in units of the cell vectors:
Ac 0.0000 0.0000 0.0000  4 Sm 3.71, 4 Eu 3.71
La 0.5000 0.5000 0.5000  4 Sm 3.71, 4 Eu 3.71
Sm 0.7500 0.7500 0.7500  4 Ac 3.71, 4 La 3.71
Eu 0.2500 0.2500 0.2500  4 La 3.71, 4 Ac 3.71

Output
space-group type = F-43m, No. 216

Below is SrAcLaEu after structural relaxation, with properties calculated at the GGA-PBE level.

abc: 6.2961 6.2961 6.2961
angles: 60.00 60.00 60.00
With the nearest neighbours (Å) after each atom.
Sites, in units of the cell vectors:
Sr 0.0000 0.0000 0.0000  4 Ac 3.86, 4 Eu 3.86
Ac 0.7500 0.7500 0.7500  4 La 3.86, 4 Sr 3.86
La 0.5000 0.5000 0.5000  4 Ac 3.86, 4 Eu 3.86
Eu 0.2500 0.2500 0.2500  4 La 3.86, 4 Sr 3.86

Output
space-group type = F-43m, No. 216

Below is AcLaTbEu after structural relaxation, with properties calculated at the GGA-PBE level.

abc: 6.0266 6.0266 6.0266
angles: 60.00 60.00 60.00
With the nearest neighbours (Å) after each atom.
Sites, in units of the cell vectors:
Ac 0.0000 0.0000 0.0000  4 Tb 3.69, 4 Eu 3.69
La 0.5000 0.5000 0.5000  4 Tb 3.69, 4 Eu 3.69
Tb 0.2500 0.2500 0.2500  4 Ac 3.69, 4 La 3.69
Eu 0.7500 0.7500 0.7500  4 Ac 3.69, 4 La 3.69

Output
space-group type = F-43m, No. 216

Below is AcLaEuTl after structural relaxation, with properties calculated at the GGA-PBE level.

abc: 5.8490 5.8490 5.8490
angles: 60.00 60.00 60.00
With the nearest neighbours (Å) after each atom.
Sites, in units of the cell vectors:
Ac 0.0000 0.0000 0.0000  4 La 3.58, 4 Eu 3.58
La 0.2500 0.2500 0.2500  4 Tl 3.58, 4 Ac 3.58
Eu 0.7500 0.7500 0.7500  4 Ac 3.58, 4 Tl 3.58
Tl 0.5000 0.5000 0.5000  4 La 3.58, 4 Eu 3.58

Output
space-group type = F-43m, No. 216

Below is AcLaEuTm after structural relaxation, with properties calculated at the GGA-PBE level.

abc: 5.9962 5.9962 5.9962
angles: 60.00 60.00 60.00
With the nearest neighbours (Å) after each atom.
Sites, in units of the cell vectors:
Ac 0.0000 0.0000 0.0000  4 Tm 3.67, 4 Eu 3.67
La 0.5000 0.5000 0.5000  4 Tm 3.67, 4 Eu 3.67
Eu 0.7500 0.7500 0.7500  4 Ac 3.67, 4 La 3.67
Tm 0.2500 0.2500 0.2500  4 Ac 3.67, 4 La 3.67

Output
space-group type = F-43m, No. 216

Below is AcLaEuZn after structural relaxation, with properties calculated at the GGA-PBE level.

abc: 5.7424 5.7424 5.7424
angles: 60.00 60.00 60.00
With the nearest neighbours (Å) after each atom.
Sites, in units of the cell vectors:
Ac 0.0000 0.0000 0.0000  4 La 3.52, 4 Eu 3.52
La 0.7500 0.7500 0.7500  4 Zn 3.52, 4 Ac 3.52
Eu 0.2500 0.2500 0.2500  4 Ac 3.52, 4 Zn 3.52
Zn 0.5000 0.5000 0.5000  4 La 3.52, 4 Eu 3.52

Output
space-group type = F-43m, No. 216

Below is LiAcEuMg after structural relaxation, with properties calculated at the GGA-PBE level.

abc: 5.7589 5.7589 5.7589
angles: 60.00 60.00 60.00
With the nearest neighbours (Å) after each atom.
Sites, in units of the cell vectors:
Li 0.0000 0.0000 0.0000  4 Ac 3.53, 4 Eu 3.53
Ac 0.7500 0.7500 0.7500  4 Mg 3.53, 4 Li 3.53
Eu 0.2500 0.2500 0.2500  4 Li 3.53, 4 Mg 3.53
Mg 0.5000 0.5000 0.5000  4 Ac 3.53, 4 Eu 3.53

Output
space-group type = F-43m, No. 216

Below is NaLiAcEu after structural relaxation, with properties calculated at the GGA-PBE level.

abc: 5.9398 5.9398 5.9398
angles: 60.00 60.00 60.00
With the nearest neighbours (Å) after each atom.
Sites, in units of the cell vectors:
Na 0.0000 0.0000 0.0000  4 Ac 3.64, 4 Eu 3.64
Li 0.5000 0.5000 0.5000  4 Ac 3.64, 4 Eu 3.64
Ac 0.7500 0.7500 0.7500  4 Li 3.64, 4 Na 3.64
Eu 0.2500 0.2500 0.2500  4 Li 3.64, 4 Na 3.64

Output
space-group type = F-43m, No. 216

Below is LiAcNdEu after structural relaxation, with properties calculated at the GGA-PBE level.

abc: 5.9147 5.9147 5.9147
angles: 60.00 60.00 60.00
With the nearest neighbours (Å) after each atom.
Sites, in units of the cell vectors:
Li 0.0000 0.0000 0.0000  4 Nd 3.62, 4 Eu 3.62
Ac 0.5000 0.5000 0.5000  4 Nd 3.62, 4 Eu 3.62
Nd 0.7500 0.7500 0.7500  4 Ac 3.62, 4 Li 3.62
Eu 0.2500 0.2500 0.2500  4 Ac 3.62, 4 Li 3.62

Output
space-group type = F-43m, No. 216

Below is LiAcEuNi after structural relaxation, with properties calculated at the GGA-PBE level.

abc: 5.2766 5.2766 5.2766
angles: 60.00 60.00 60.00
With the nearest neighbours (Å) after each atom.
Sites, in units of the cell vectors:
Li 0.0000 0.0000 0.0000  4 Ac 3.23, 4 Eu 3.23
Ac 0.7500 0.7500 0.7500  4 Li 3.23, 4 Ni 3.23
Eu 0.2500 0.2500 0.2500  4 Li 3.23, 4 Ni 3.23
Ni 0.5000 0.5000 0.5000  4 Ac 3.23, 4 Eu 3.23

Output
space-group type = F-43m, No. 216

Below is LiAcEuOs after structural relaxation, with properties calculated at the GGA-PBE level.

abc: 5.1836 5.1836 5.1836
angles: 60.00 60.00 60.00
With the nearest neighbours (Å) after each atom.
Sites, in units of the cell vectors:
Li 0.0000 0.0000 0.0000  4 Ac 3.17, 4 Eu 3.17
Ac 0.2500 0.2500 0.2500  4 Os 3.17, 4 Li 3.17
Eu 0.7500 0.7500 0.7500  4 Os 3.17, 4 Li 3.17
Os 0.5000 0.5000 0.5000  4 Eu 3.17, 4 Ac 3.17

Output
space-group type = F-43m, No. 216

Below is LiAcEuPd after structural relaxation, with properties calculated at the GGA-PBE level.

abc: 5.3736 5.3736 5.3736
angles: 60.00 60.00 60.00
With the nearest neighbours (Å) after each atom.
Sites, in units of the cell vectors:
Li 0.0000 0.0000 0.0000  4 Ac 3.29, 4 Eu 3.29
Ac 0.2500 0.2500 0.2500  4 Li 3.29, 4 Pd 3.29
Eu 0.7500 0.7500 0.7500  4 Pd 3.29, 4 Li 3.29
Pd 0.5000 0.5000 0.5000  4 Eu 3.29, 4 Ac 3.29

Output
space-group type = F-43m, No. 216

DFT total energy, record by record: -5.897 -5.118 -5.875 -5.445 -5.841 -4.997 -4.464 -4.226 -5.042 -5.498 -6.770 -5.671 eV/atom